# 1
10
Lattice="-2.533 0.478 4.279 2.176 -1.193 4.335 1.347 3.903 3.278" Properties=species:S:1:pos:R:3 comment="AlV2SiO6 GGA+U optimized geometry" space_group="No. 146" pbc="T T T"
V 1.243 3.608 3.249
V 0.381 1.272 5.914
O -0.484 3.224 5.863
O 1.779 2.520 4.888
O 1.997 -0.120 5.859
O -0.747 1.020 4.121
O 1.385 2.411 7.418
O -0.879 0.732 7.549
Si -0.052 -0.050 2.890
Al 0.470 1.619 8.844

---

# 2
80
Lattice="10.182 0.000 0.000 -3.394 9.599 0.000 -3.394 -4.800 8.313" Properties=species:S:1:pos:R:3 comment="Al2V3Si3O12 GGA+U optimized geometry" n_ef_per_ev_cell=0.000 space_group="No. 230" pbc="T T T"
V 2.545 1.800 7.274
V -2.545 0.000 6.235
V 0.848 6.599 1.039
V 5.939 -0.600 3.117
V 0.848 3.000 1.039
V 4.242 4.200 5.196
V 5.939 4.800 2.078
V -2.545 5.400 5.196
V -0.848 0.600 3.117
V 2.545 0.000 2.078
V 0.848 4.800 6.235
V 2.545 -1.800 7.274
O 1.806 -1.949 5.140
O 0.743 2.578 5.814
O -0.954 1.347 0.983
O 4.348 -2.578 5.814
O 7.365 3.392 0.675
O 3.285 -3.723 8.212
O -3.503 6.573 3.275
O 2.651 8.253 0.983
O 4.513 3.512 0.882
O 0.109 2.850 3.174
O 4.513 6.207 0.675
O 4.605 0.840 1.658
O -0.743 -0.875 4.831
O 4.137 5.675 3.482
O 3.971 0.119 6.757
O 2.908 5.640 6.655
O 1.588 1.077 0.101
O 2.183 4.255 4.258
O 0.743 -3.453 7.330
O 1.211 0.544 4.055
O 0.486 -0.840 1.658
O -1.120 -1.408 7.638
O 3.880 -0.544 4.055
O -3.880 3.416 5.713
O -0.486 5.344 4.258
O 4.348 3.453 7.330
O -1.120 1.288 7.432
O -2.440 3.925 3.482
O 2.651 2.222 2.499
O 3.285 1.949 5.140
O 2.274 4.919 1.556
O -4.605 6.184 5.713
O 1.806 3.723 8.212
O -3.971 -1.288 7.432
O 6.897 -1.774 5.038
O -3.971 1.408 7.638
O 7.999 -1.384 2.600
O -0.577 4.680 1.556
O 7.274 1.384 2.600
O 7.365 6.088 0.882
O 5.200 3.026 3.275
O 5.834 0.875 4.831
O 0.109 8.523 0.101
O 1.588 6.749 3.174
O 1.120 -0.119 6.757
O -1.806 1.774 5.038
O -1.211 3.960 6.655
O -0.954 7.377 2.499
Si -2.545 7.199 2.078
Si 5.939 -2.400 6.235
Si 7.636 1.800 1.039
Si -0.848 -3.000 7.274
Si 4.242 0.600 5.196
Si -0.848 2.400 6.235
Si 4.242 2.400 2.078
Si 0.848 -0.600 5.196
Si -4.242 3.000 7.274
Si -0.848 4.200 3.117
Si 4.242 7.799 1.039
Si 2.545 5.400 3.117
Al 0.000 0.000 0.000
Al 5.091 0.000 0.000
Al -1.697 4.800 0.000
Al 3.394 4.800 0.000
Al 3.394 -2.400 4.157
Al 1.697 2.400 4.157
Al -1.697 -2.400 4.157
Al -3.394 2.400 4.157

---

no.,calculated volume (Å³ per atom),VASP energy (eV/atom),magnetization (μB/cell)
1,9.5,-7.69,5.0
2,10.2,-7.73,36.0